<P>
The following is a PBE calculation of a relaxed Ni3HRu crystal, from Alexandria.

POSCAR file:
```
Ni3HRu
1.0
3.660 0.000 0.000
0.000 3.660 0.000
0.000 0.000 3.660
Ni H Ru
3 1 1
direct
0.000 0.000 0.500
0.000 0.500 0.000
0.500 0.000 0.000
0.000 0.000 0.000
0.500 0.500 0.500
```

The spin magnetization comes out at 1.8 μB per cell.

=====

<Q>
The following is a PBE calculation of a relaxed Ni3HRu crystal, from Alexandria.

POSCAR file:
```
Ni3HRu
1.0
4.496 0.000 0.000
0.000 4.496 0.000
0.000 0.000 4.496
Ni H Ru
3 1 1
direct
0.000 0.000 0.500
0.000 0.500 0.000
0.500 0.000 0.000
0.500 0.500 0.500
0.000 0.000 0.000
```

The spin magnetization comes out at 2.5 μB per cell.

=====

Most stable: <P>. Least stable: <Q>.

=====

<P>
The following is a PBE calculation of a relaxed Ni2HRu crystal, from Alexandria.

POSCAR file:
```
Ni2HRu
1.0
5.412 0.000 0.000
0.000 5.412 0.000
0.000 0.000 5.448
Ni H Ru
8 4 4
direct
0.125 0.250 0.125
0.250 0.625 0.375
0.250 0.875 0.875
0.375 0.250 0.625
0.625 0.750 0.625
0.750 0.125 0.875
0.750 0.375 0.375
0.875 0.750 0.125
0.000 0.000 0.000
0.000 0.500 0.250
0.500 0.000 0.750
0.500 0.500 0.500
0.000 0.000 0.500
0.000 0.500 0.750
0.500 0.000 0.250
0.500 0.500 0.000
```

The spin magnetization comes out at 0.0 μB per cell.

=====

<Q>
The following is a PBE calculation of a relaxed Ni2HRu crystal, from Alexandria.

POSCAR file:
```
Ni2HRu
1.0
2.637 0.000 0.000
-1.319 2.284 0.000
0.000 0.000 18.951
Ni H Ru
6 3 3
direct
0.000 0.000 0.000
0.000 0.000 0.220
0.333 0.667 0.667
0.333 0.667 0.886
0.667 0.333 0.333
0.667 0.333 0.553
0.000 0.000 0.609
0.333 0.667 0.276
0.667 0.333 0.943
0.000 0.000 0.776
0.333 0.667 0.443
0.667 0.333 0.109
```

The spin magnetization comes out at 0.0 μB per cell.

=====

<R>
The following is a PBE calculation of a relaxed Ni2HRu crystal, from Alexandria.

POSCAR file:
```
Ni2HRu
1.0
2.575 0.000 0.000
-1.287 2.230 0.000
0.000 0.000 21.176
Ni H Ru
6 3 3
direct
0.000 0.000 0.116
0.000 0.000 0.884
0.333 0.667 0.551
0.333 0.667 0.782
0.667 0.333 0.218
0.667 0.333 0.449
0.000 0.000 0.500
0.333 0.667 0.167
0.667 0.333 0.833
0.000 0.000 0.000
0.333 0.667 0.667
0.667 0.333 0.333
```

The spin magnetization comes out at 0.0 μB per cell.

=====

Most stable: <Q>. Least stable: <R>.

=====

<P>
The following is a PBE calculation of a relaxed NiH3Ru crystal, from Alexandria.

POSCAR file:
```
NiH3Ru
1.0
3.364 0.000 0.000
0.000 3.364 0.000
0.000 0.000 3.364
Ni H Ru
1 3 1
direct
0.000 0.000 0.000
0.000 0.500 0.500
0.500 0.000 0.500
0.500 0.500 0.000
0.500 0.500 0.500
```

The spin magnetization comes out at 1.1 μB per cell.

=====

<Q>
The following is a PBE calculation of a relaxed NiH3Ru crystal, from Alexandria.

POSCAR file:
```
NiH3Ru
1.0
3.217 0.000 0.000
0.000 3.217 0.000
0.000 0.000 3.217
Ni H Ru
1 3 1
direct
0.000 0.000 0.000
0.000 0.000 0.500
0.000 0.500 0.000
0.500 0.000 0.000
0.500 0.500 0.500
```

The spin magnetization comes out at 0.6 μB per cell.

=====

Most stable: <Q>. Least stable: <P>.